No. 1
First-principles (PBE+U) data for crystalline Cs3TlCo2F9 at its relaxed geometry, as listed in the Alexandria database.

Output
D(E_F) (states/eV/f.u.): 8.22
Total DFT energy (no corrections) (eV per atom): -4.406
Volume (Å³/cell): 276.5
Space-group type: P-3m1 (164)

Cell: 6.3169 6.3169 8.0014 Å, 90.00 90.00 120.00°
Positions (direct):
Cs: 0.0000 0.0000 0.0000
Cs: 0.3333 0.6667 0.6718
Cs: 0.6667 0.3333 0.3282
Tl: 0.0000 0.0000 0.5000
Co: 0.3333 0.6667 0.1444
Co: 0.6667 0.3333 0.8556
F: 0.0000 0.5000 0.0000
F: 0.1875 0.3751 0.2831
F: 0.1875 0.8125 0.2831
F: 0.3751 0.1875 0.7169
F: 0.5000 0.0000 0.0000
F: 0.5000 0.5000 0.0000
F: 0.6249 0.8125 0.2831
F: 0.8125 0.1875 0.7169
F: 0.8125 0.6249 0.7169

---

No. 2
First-principles (PBE+U) data for crystalline CsTlCoF6 at its relaxed geometry, as listed in the Alexandria database.

Output
D(E_F) (states/eV/f.u.): 1.68
Total DFT energy (no corrections) (eV per atom): -4.228
Volume (Å³/cell): 314.1
Space-group type: Imma (74)

Cell: 7.5714 7.5714 7.5714 Å, 120.87 115.41 93.31°
Positions (direct):
Cs: 0.3492 0.0992 0.2500
Cs: 0.6508 0.9008 0.7500
Tl: 0.0000 0.5000 0.5000
Tl: 0.5000 0.5000 0.0000
Co: 0.0000 0.0000 0.5000
Co: 0.0000 0.5000 0.0000
F: 0.0383 0.3460 0.1331
F: 0.0383 0.9052 0.6924
F: 0.0472 0.2972 0.7500
F: 0.2872 0.0948 0.6331
F: 0.2872 0.6540 0.1924
F: 0.3549 0.6049 0.7500
F: 0.6451 0.3951 0.2500
F: 0.7128 0.3460 0.8076
F: 0.7128 0.9052 0.3669
F: 0.9528 0.7028 0.2500
F: 0.9617 0.0948 0.3076
F: 0.9617 0.6540 0.8669

---

No. 3
First-principles (PBE+U) data for crystalline Cs2TlCoF6 at its relaxed geometry, as listed in the Alexandria database.

Output
D(E_F) (states/eV/f.u.): 8.67
Total DFT energy (no corrections) (eV per atom): -4.287
Volume (Å³/cell): 201.5
Space-group type: Fm-3m (225)

Cell: 6.5810 6.5810 6.5810 Å, 60.00 60.00 60.00°
Positions (direct):
Cs: 0.2500 0.2500 0.2500
Cs: 0.7500 0.7500 0.7500
Tl: 0.0000 0.0000 0.0000
Co: 0.5000 0.5000 0.5000
F: 0.2905 0.2905 0.7095
F: 0.2905 0.7095 0.2905
F: 0.2905 0.7095 0.7095
F: 0.7095 0.2905 0.2905
F: 0.7095 0.2905 0.7095
F: 0.7095 0.7095 0.2905

---

No. 4
First-principles (PBE+U) data for crystalline CsVCoF6 at its relaxed geometry, as listed in the Alexandria database.

Output
D(E_F) (states/eV/f.u.): 0.00
Total DFT energy (no corrections) (eV per atom): -5.418
Volume (Å³/cell): 300.3
Space-group type: Imma (74)

Cell: 7.5234 7.5234 7.5234 Å, 120.87 119.45 89.73°
Positions (direct):
Cs: 0.3678 0.1178 0.2500
Cs: 0.6322 0.8822 0.7500
V: 0.0000 0.5000 0.5000
V: 0.5000 0.5000 0.0000
Co: 0.0000 0.0000 0.5000
Co: 0.0000 0.5000 0.0000
F: 0.0712 0.4337 0.2609
F: 0.0712 0.8103 0.6375
F: 0.0732 0.8232 0.2500
F: 0.3157 0.5657 0.7500
F: 0.3272 0.1897 0.7609
F: 0.3272 0.5663 0.1375
F: 0.6728 0.4337 0.8625
F: 0.6728 0.8103 0.2391
F: 0.6843 0.4343 0.2500
F: 0.9268 0.1768 0.7500
F: 0.9288 0.1897 0.3625
F: 0.9288 0.5663 0.7391

---

No. 5
First-principles (PBE+U) data for crystalline CsCo2WF8 at its relaxed geometry, as listed in the Alexandria database.

Output
D(E_F) (states/eV/f.u.): 0.00
Total DFT energy (no corrections) (eV per atom): -5.104
Volume (Å³/cell): 216.8
Space-group type: R-3 (148)

Cell: 8.7223 8.7223 8.7223 Å, 37.14 37.14 37.14°
Positions (direct):
Cs: 0.0000 0.0000 0.0000
Co: 0.2431 0.2431 0.2431
Co: 0.7569 0.7569 0.7569
W: 0.5000 0.5000 0.5000
F: 0.1303 0.4641 0.7573
F: 0.2427 0.8697 0.5359
F: 0.3195 0.3195 0.3195
F: 0.4641 0.7573 0.1303
F: 0.5359 0.2427 0.8697
F: 0.6805 0.6805 0.6805
F: 0.7573 0.1303 0.4641
F: 0.8697 0.5359 0.2427

---

No. 6
First-principles (PBE+U) data for crystalline CsYCoF6 at its relaxed geometry, as listed in the Alexandria database.

Output
D(E_F) (states/eV/f.u.): 0.00
Total DFT energy (no corrections) (eV per atom): -5.760
Volume (Å³/cell): 309.2
Space-group type: Imma (74)

Cell: 7.5459 7.5459 7.5459 Å, 120.06 117.39 92.24°
Positions (direct):
Cs: 0.3470 0.0970 0.2500
Cs: 0.6530 0.9030 0.7500
Y: 0.0000 0.5000 0.5000
Y: 0.5000 0.5000 0.0000
Co: 0.0000 0.0000 0.5000
Co: 0.0000 0.5000 0.0000
F: 0.0591 0.3660 0.1933
F: 0.0591 0.8657 0.6931
F: 0.0762 0.3262 0.7500
F: 0.3273 0.1343 0.6933
F: 0.3273 0.6340 0.1931
F: 0.3506 0.6006 0.7500
F: 0.6494 0.3994 0.2500
F: 0.6727 0.3660 0.8069
F: 0.6727 0.8657 0.3067
F: 0.9238 0.6738 0.2500
F: 0.9409 0.1343 0.3069
F: 0.9409 0.6340 0.8067

---

No. 7
First-principles (PBE+U) data for crystalline Cs2YCoF6 at its relaxed geometry, as listed in the Alexandria database.

Output
D(E_F) (states/eV/f.u.): 0.00
Total DFT energy (no corrections) (eV per atom): -5.340
Volume (Å³/cell): 209.8
Space-group type: I4/mmm (139)

Cell: 7.1892 7.1892 7.1892 Å, 130.53 130.53 72.56°
Positions (direct):
Cs: 0.2500 0.7500 0.5000
Cs: 0.7500 0.2500 0.5000
Y: 0.0000 0.0000 0.0000
Co: 0.5000 0.5000 0.0000
F: 0.1880 0.1880 0.0000
F: 0.2586 0.2586 0.5172
F: 0.2586 0.7414 0.0000
F: 0.7414 0.2586 0.0000
F: 0.7414 0.7414 0.4828
F: 0.8120 0.8120 0.0000

---

No. 8
First-principles (PBE+U) data for crystalline Cs2YCo3F12 at its relaxed geometry, as listed in the Alexandria database.

Output
D(E_F) (states/eV/f.u.): 8.30
Total DFT energy (no corrections) (eV per atom): -5.262
Volume (Å³/cell): 311.6
Space-group type: R-3m (166)

Cell: 7.6901 7.6901 7.6901 Å, 58.64 58.64 58.64°
Positions (direct):
Cs: 0.1126 0.1126 0.1126
Cs: 0.8874 0.8874 0.8874
Y: 0.5000 0.5000 0.5000
Co: 0.0000 0.5000 0.5000
Co: 0.5000 0.0000 0.5000
Co: 0.5000 0.5000 0.0000
F: 0.1537 0.5819 0.5819
F: 0.1909 0.1909 0.5765
F: 0.1909 0.5765 0.1909
F: 0.4181 0.4181 0.8463
F: 0.4181 0.8463 0.4181
F: 0.4235 0.8091 0.8091
F: 0.5765 0.1909 0.1909
F: 0.5819 0.1537 0.5819
F: 0.5819 0.5819 0.1537
F: 0.8091 0.4235 0.8091
F: 0.8091 0.8091 0.4235
F: 0.8463 0.4181 0.4181

---

No. 9
First-principles (PBE+U) data for crystalline CsZnCoF6 at its relaxed geometry, as listed in the Alexandria database.

Output
Total DFT energy (no corrections) (eV per atom): -4.382
Volume (Å³/cell): 289.6
Space-group type: Imma (74)

Cell: 7.4242 7.4242 7.4242 Å, 120.28 119.62 90.09°
Positions (direct):
Cs: 0.3720 0.1220 0.2500
Cs: 0.6280 0.8780 0.7500
Zn: 0.0000 0.0000 0.5000
Zn: 0.0000 0.5000 0.0000
Co: 0.0000 0.5000 0.5000
Co: 0.5000 0.5000 0.0000
F: 0.0732 0.4329 0.2648
F: 0.0732 0.8084 0.6403
F: 0.0736 0.8236 0.2500
F: 0.3144 0.5644 0.7500
F: 0.3320 0.1916 0.7648
F: 0.3320 0.5671 0.1403
F: 0.6680 0.4329 0.8597
F: 0.6680 0.8084 0.2352
F: 0.6856 0.4356 0.2500
F: 0.9264 0.1764 0.7500
F: 0.9268 0.1916 0.3597
F: 0.9268 0.5671 0.7352

---

No. 10
First-principles (PBE+U) data for crystalline CsZrCo2F8 at its relaxed geometry, as listed in the Alexandria database.

Output
D(E_F) (states/eV/f.u.): 5.73
Total DFT energy (no corrections) (eV per atom): -5.457
Volume (Å³/cell): 217.0
Space-group type: R-3 (148)

Cell: 8.7440 8.7440 8.7440 Å, 37.01 37.01 37.01°
Positions (direct):
Cs: 0.0000 0.0000 0.0000
Zr: 0.5000 0.5000 0.5000
Co: 0.2480 0.2480 0.2480
Co: 0.7520 0.7520 0.7520
F: 0.1335 0.7490 0.4692
F: 0.2510 0.5308 0.8665
F: 0.3248 0.3248 0.3248
F: 0.4692 0.1335 0.7490
F: 0.5308 0.8665 0.2510
F: 0.6752 0.6752 0.6752
F: 0.7490 0.4692 0.1335
F: 0.8665 0.2510 0.5308